--- i ---
TbNp | PBE-GGA | optimized geometry

Cell and atoms, written as CIF:
```
data_TbNp
_cell_length_a 3.3398
_cell_length_b 3.3398
_cell_length_c 5.7581
_cell_angle_alpha 90.00
_cell_angle_beta 90.00
_cell_angle_gamma 120.00
_space_group_name_H-M_alt 'P -6 m 2'
_space_group_IT_number 187
_space_group_name_Hall 'P -6 2'
loop_
_atom_site_label
_atom_site_type_symbol
_atom_site_fract_x
_atom_site_fract_y
_atom_site_fract_z
_atom_site_occupancy
Tb1 Tb 0.0000 0.0000 0.0000 1
Np1 Np 0.3333 0.6667 0.5000 1
```

Properties
* M_tot: 4.4 μB per cell

--- ii ---
TbNp | PBE-GGA | optimized geometry

Cell and atoms, written as CIF:
```
data_TbNp
_cell_length_a 6.046
_cell_length_b 6.046
_cell_length_c 6.046
_cell_angle_alpha 90.00
_cell_angle_beta 90.00
_cell_angle_gamma 90.00
_space_group_name_H-M_alt 'F -4 3 m'
_space_group_IT_number 216
_space_group_name_Hall 'F -4 2 3'
loop_
_atom_site_label
_atom_site_type_symbol
_atom_site_fract_x
_atom_site_fract_y
_atom_site_fract_z
_atom_site_occupancy
Tb1 Tb 0.000 0.000 0.000 1
Np1 Np 0.250 0.250 0.250 1
```

Properties
* M_tot: 15.3 μB per cell

Stability check: which of them is least stable? ii.

--- i ---
YNbCuSi | PBE-GGA | optimized geometry

Cell and atoms, written as CIF:
```
data_YNbCuSi
_cell_length_a 6.680
_cell_length_b 6.680
_cell_length_c 6.680
_cell_angle_alpha 90.00
_cell_angle_beta 90.00
_cell_angle_gamma 90.00
_space_group_name_H-M_alt 'F -4 3 m'
_space_group_IT_number 216
_space_group_name_Hall 'F -4 2 3'
loop_
_atom_site_label
_atom_site_type_symbol
_atom_site_fract_x
_atom_site_fract_y
_atom_site_fract_z
_atom_site_occupancy
Y1 Y 0.000 0.000 0.000 1
Nb1 Nb 0.250 0.250 0.750 1
Cu1 Cu 0.000 0.000 0.500 1
Si1 Si 0.250 0.250 0.250 1
```

Properties
* M_tot: 10.9 μB per cell

--- ii ---
YNbCuSi | PBE-GGA | optimized geometry

Cell and atoms, written as CIF:
```
data_YNbCuSi
_cell_length_a 6.541
_cell_length_b 6.541
_cell_length_c 6.541
_cell_angle_alpha 90.00
_cell_angle_beta 90.00
_cell_angle_gamma 90.00
_space_group_name_H-M_alt 'F -4 3 m'
_space_group_IT_number 216
_space_group_name_Hall 'F -4 2 3'
loop_
_atom_site_label
_atom_site_type_symbol
_atom_site_fract_x
_atom_site_fract_y
_atom_site_fract_z
_atom_site_occupancy
Y1 Y 0.000 0.000 0.000 1
Nb1 Nb 0.250 0.250 0.250 1
Cu1 Cu 0.250 0.250 0.750 1
Si1 Si 0.000 0.000 0.500 1
```

Properties
* M_tot: 0.0 μB per cell

Stability check: which of them is least stable? i.

--- i ---
MgAgTeO | PBE-GGA | optimized geometry

Cell and atoms, written as CIF:
```
data_MgAgTeO
_cell_length_a 4.126
_cell_length_b 4.126
_cell_length_c 10.553
_cell_angle_alpha 90.00
_cell_angle_beta 90.00
_cell_angle_gamma 90.00
_space_group_name_H-M_alt 'P 4/n m m'
_space_group_IT_number 129
loop_
_space_group_symop_operation_xyz
'x,y,z'
'-x,-y,-z'
'-y+1/2,x,z'
'y+1/2,-x,-z'
'-x+1/2,-y+1/2,z'
'x+1/2,y+1/2,-z'
'y,-x+1/2,z'
'-y,x+1/2,-z'
'x+1/2,-y,-z'
'-x+1/2,y,z'
'-y,-x,-z'
'y,x,z'
'-x,y+1/2,-z'
'x,-y+1/2,z'
'y+1/2,x+1/2,-z'
'-y+1/2,-x+1/2,z'
loop_
_atom_site_label
_atom_site_type_symbol
_atom_site_fract_x
_atom_site_fract_y
_atom_site_fract_z
_atom_site_occupancy
Mg1 Mg 0.250 0.250 0.091 1
Ag1 Ag 0.250 0.250 0.712 1
Te1 Te 0.250 0.750 0.500 1
O1 O 0.250 0.250 0.914 1
```

--- ii ---
MgAgTeO | PBE-GGA | optimized geometry

Cell and atoms, written as CIF:
```
data_MgAgTeO
_cell_length_a 3.3875
_cell_length_b 3.3875
_cell_length_c 14.7850
_cell_angle_alpha 90.00
_cell_angle_beta 90.00
_cell_angle_gamma 120.00
_space_group_name_H-M_alt 'P 63 m c'
_space_group_IT_number 186
_space_group_name_Hall 'P 6c -2c'
loop_
_atom_site_label
_atom_site_type_symbol
_atom_site_fract_x
_atom_site_fract_y
_atom_site_fract_z
_atom_site_occupancy
Mg1 Mg 0.3333 0.6667 0.0000 1
Ag1 Ag 0.0000 0.0000 0.1765 1
Te1 Te 0.3333 0.6667 0.3206 1
O1 O 0.0000 0.0000 0.0244 1
```

Stability check: which of them is least stable? i.

--- i ---
NaHoZnSe3 | PBE-GGA | optimized geometry

Cell and atoms, written as CIF:
```
data_NaHoZnSe3
_cell_length_a 8.269
_cell_length_b 4.062
_cell_length_c 9.744
_cell_angle_alpha 90.00
_cell_angle_beta 104.91
_cell_angle_gamma 90.00
_space_group_name_H-M_alt 'P 1 21/m 1'
_space_group_IT_number 11
loop_
_space_group_symop_operation_xyz
'x,y,z'
'-x,-y,-z'
'-x,y+1/2,-z'
'x,-y+1/2,z'
loop_
_atom_site_label
_atom_site_type_symbol
_atom_site_fract_x
_atom_site_fract_y
_atom_site_fract_z
_atom_site_occupancy
Na1 Na 0.205 0.250 0.220 1
Ho1 Ho 0.325 0.750 0.856 1
Zn1 Zn 0.083 0.250 0.602 1
Se1 Se 0.080 0.250 0.853 1
Se2 Se 0.227 0.750 0.537 1
Se3 Se 0.440 0.750 0.156 1
```

Properties
* M_tot: 0.0 μB per cell

--- ii ---
NaHoZnSe3 | PBE-GGA | optimized geometry

Cell and atoms, written as CIF:
```
data_NaHoZnSe3
_cell_length_a 18.939
_cell_length_b 4.040
_cell_length_c 8.148
_cell_angle_alpha 90.00
_cell_angle_beta 103.20
_cell_angle_gamma 90.00
_space_group_name_H-M_alt 'C 1 2/m 1'
_space_group_IT_number 12
loop_
_space_group_symop_operation_xyz
'x,y,z'
'-x,-y,-z'
'-x,y,-z'
'x,-y,z'
'x+1/2,y+1/2,z'
'-x+1/2,-y+1/2,-z'
'-x+1/2,y+1/2,-z'
'x+1/2,-y+1/2,z'
loop_
_atom_site_label
_atom_site_type_symbol
_atom_site_fract_x
_atom_site_fract_y
_atom_site_fract_z
_atom_site_occupancy
Na1 Na 0.122 0.000 0.072 1
Ho1 Ho 0.174 0.000 0.583 1
Zn1 Zn 0.035 0.500 0.728 1
Se1 Se 0.000 0.000 0.500 1
Se2 Se 0.000 0.500 0.000 1
Se3 Se 0.167 0.500 0.822 1
Se4 Se 0.175 0.500 0.343 1
```

Properties
* M_tot: 0.0 μB per cell

Stability check: which of them is least stable? ii.

--- i ---
Cu2Ag3 | PBE-GGA | optimized geometry

Cell and atoms, written as CIF:
```
data_Cu2Ag3
_cell_length_a 14.105
_cell_length_b 3.995
_cell_length_c 5.634
_cell_angle_alpha 90.00
_cell_angle_beta 99.06
_cell_angle_gamma 90.00
_space_group_name_H-M_alt 'C 1 2/m 1'
_space_group_IT_number 12
loop_
_space_group_symop_operation_xyz
'x,y,z'
'-x,-y,-z'
'-x,y,-z'
'x,-y,z'
'x+1/2,y+1/2,z'
'-x+1/2,-y+1/2,-z'
'-x+1/2,y+1/2,-z'
'x+1/2,-y+1/2,z'
loop_
_atom_site_label
_atom_site_type_symbol
_atom_site_fract_x
_atom_site_fract_y
_atom_site_fract_z
_atom_site_occupancy
Cu1 Cu 0.100 0.000 0.050 1
Cu2 Cu 0.199 0.500 0.346 1
Ag1 Ag 0.003 0.500 0.245 1
Ag2 Ag 0.107 0.000 0.544 1
Ag3 Ag 0.203 0.500 0.849 1
```

--- ii ---
Cu2Ag3 | PBE-GGA | optimized geometry

Cell and atoms, written as CIF:
```
data_Cu2Ag3
_cell_length_a 3.989
_cell_length_b 19.551
_cell_length_c 3.990
_cell_angle_alpha 90.00
_cell_angle_beta 90.00
_cell_angle_gamma 90.00
_space_group_name_H-M_alt 'C m m m'
_space_group_IT_number 65
_space_group_name_Hall '-C 2 2'
loop_
_atom_site_label
_atom_site_type_symbol
_atom_site_fract_x
_atom_site_fract_y
_atom_site_fract_z
_atom_site_occupancy
Cu1 Cu 0.000 0.000 0.000 1
Cu2 Cu 0.000 0.086 0.500 1
Cu3 Cu 0.000 0.500 0.500 1
Ag1 Ag 0.000 0.194 0.000 1
Ag2 Ag 0.000 0.306 0.500 1
Ag3 Ag 0.000 0.410 0.000 1
```

Stability check: which of them is least stable? i.

--- i ---
PrDyNO | PBE-GGA | optimized geometry

Cell and atoms, written as CIF:
```
data_PrDyNO
_cell_length_a 4.069
_cell_length_b 7.054
_cell_length_c 5.071
_cell_angle_alpha 90.00
_cell_angle_beta 90.00
_cell_angle_gamma 90.00
_space_group_name_H-M_alt 'P m c 21'
_space_group_IT_number 26
loop_
_space_group_symop_operation_xyz
'x,y,z'
'-x,-y,z+1/2'
'-x,y,z'
'x,-y,z+1/2'
loop_
_atom_site_label
_atom_site_type_symbol
_atom_site_fract_x
_atom_site_fract_y
_atom_site_fract_z
_atom_site_occupancy
Pr1 Pr 0.000 0.162 0.000 1
Dy1 Dy 0.500 0.329 0.501 1
N1 N 0.000 0.182 0.501 1
O1 O 0.500 0.351 0.996 1
```

Properties
* M_tot: 0.0 μB per cell

--- ii ---
PrDyNO | PBE-GGA | optimized geometry

Cell and atoms, written as CIF:
```
data_PrDyNO
_cell_length_a 5.018
_cell_length_b 5.018
_cell_length_c 4.967
_cell_angle_alpha 90.00
_cell_angle_beta 90.00
_cell_angle_gamma 90.00
_space_group_name_H-M_alt 'P 4/n m m'
_space_group_IT_number 129
loop_
_space_group_symop_operation_xyz
'x,y,z'
'-x,-y,-z'
'-y+1/2,x,z'
'y+1/2,-x,-z'
'-x+1/2,-y+1/2,z'
'x+1/2,y+1/2,-z'
'y,-x+1/2,z'
'-y,x+1/2,-z'
'x+1/2,-y,-z'
'-x+1/2,y,z'
'-y,-x,-z'
'y,x,z'
'-x,y+1/2,-z'
'x,-y+1/2,z'
'y+1/2,x+1/2,-z'
'-y+1/2,-x+1/2,z'
loop_
_atom_site_label
_atom_site_type_symbol
_atom_site_fract_x
_atom_site_fract_y
_atom_site_fract_z
_atom_site_occupancy
Pr1 Pr 0.250 0.750 0.000 1
Dy1 Dy 0.250 0.250 0.499 1
N1 N 0.250 0.250 0.003 1
O1 O 0.250 0.750 0.500 1
```

Properties
* M_tot: 0.0 μB per cell

Stability check: which of them is least stable? i.

--- i ---
LuTeAsO | PBE-GGA | optimized geometry

Cell and atoms, written as CIF:
```
data_LuTeAsO
_cell_length_a 5.491
_cell_length_b 5.491
_cell_length_c 5.320
_cell_angle_alpha 90.00
_cell_angle_beta 90.00
_cell_angle_gamma 90.00
_space_group_name_H-M_alt 'P 4/n m m'
_space_group_IT_number 129
loop_
_space_group_symop_operation_xyz
'x,y,z'
'-x,-y,-z'
'-y+1/2,x,z'
'y+1/2,-x,-z'
'-x+1/2,-y+1/2,z'
'x+1/2,y+1/2,-z'
'y,-x+1/2,z'
'-y,x+1/2,-z'
'x+1/2,-y,-z'
'-x+1/2,y,z'
'-y,-x,-z'
'y,x,z'
'-x,y+1/2,-z'
'x,-y+1/2,z'
'y+1/2,x+1/2,-z'
'-y+1/2,-x+1/2,z'
loop_
_atom_site_label
_atom_site_type_symbol
_atom_site_fract_x
_atom_site_fract_y
_atom_site_fract_z
_atom_site_occupancy
Lu1 Lu 0.250 0.750 0.000 1
Te1 Te 0.250 0.250 0.422 1
As1 As 0.250 0.250 0.909 1
O1 O 0.250 0.750 0.500 1
```

Properties
* M_tot: 0.0 μB per cell

--- ii ---
LuTeAsO | PBE-GGA | optimized geometry

Cell and atoms, written as CIF:
```
data_LuTeAsO
_cell_length_a 4.832
_cell_length_b 4.832
_cell_length_c 7.263
_cell_angle_alpha 90.00
_cell_angle_beta 90.00
_cell_angle_gamma 90.00
_space_group_name_H-M_alt 'P 4/n m m'
_space_group_IT_number 129
loop_
_space_group_symop_operation_xyz
'x,y,z'
'-x,-y,-z'
'-y+1/2,x,z'
'y+1/2,-x,-z'
'-x+1/2,-y+1/2,z'
'x+1/2,y+1/2,-z'
'y,-x+1/2,z'
'-y,x+1/2,-z'
'x+1/2,-y,-z'
'-x+1/2,y,z'
'-y,-x,-z'
'y,x,z'
'-x,y+1/2,-z'
'x,-y+1/2,z'
'y+1/2,x+1/2,-z'
'-y+1/2,-x+1/2,z'
loop_
_atom_site_label
_atom_site_type_symbol
_atom_site_fract_x
_atom_site_fract_y
_atom_site_fract_z
_atom_site_occupancy
Lu1 Lu 0.250 0.750 0.000 1
Te1 Te 0.250 0.250 0.445 1
As1 As 0.250 0.250 0.831 1
O1 O 0.250 0.750 0.500 1
```

Properties
* M_tot: 0.0 μB per cell

Stability check: which of them is least stable? ii.

--- i ---
Tb | PBE-GGA | optimized geometry

Cell and atoms, written as CIF:
```
data_Tb
_cell_length_a 4.002
_cell_length_b 4.002
_cell_length_c 4.002
_cell_angle_alpha 90.00
_cell_angle_beta 90.00
_cell_angle_gamma 90.00
_space_group_name_H-M_alt 'I m -3 m'
_space_group_IT_number 229
_space_group_name_Hall '-I 4 2 3'
loop_
_atom_site_label
_atom_site_type_symbol
_atom_site_fract_x
_atom_site_fract_y
_atom_site_fract_z
_atom_site_occupancy
Tb1 Tb 0.000 0.000 0.000 1
```

Properties
* M_tot: 0.1 μB per cell

--- ii ---
Tb | PBE-GGA | optimized geometry

Cell and atoms, written as CIF:
```
data_Tb
_cell_length_a 12.335
_cell_length_b 12.335
_cell_length_c 12.335
_cell_angle_alpha 90.00
_cell_angle_beta 90.00
_cell_angle_gamma 90.00
_space_group_name_H-M_alt 'I -4 3 m'
_space_group_IT_number 217
_space_group_name_Hall 'I -4 2 3'
loop_
_atom_site_label
_atom_site_type_symbol
_atom_site_fract_x
_atom_site_fract_y
_atom_site_fract_z
_atom_site_occupancy
Tb1 Tb 0.000 0.000 0.000 1
Tb2 Tb 0.055 0.367 0.367 1
Tb3 Tb 0.094 0.094 0.282 1
Tb4 Tb 0.176 0.176 0.824 1
```

Properties
* M_tot: 2.2 μB per cell

Stability check: which of them is least stable? ii.

--- i ---
DyAuSO | PBE-GGA | optimized geometry

Cell and atoms, written as CIF:
```
data_DyAuSO
_cell_length_a 7.276
_cell_length_b 6.292
_cell_length_c 6.101
_cell_angle_alpha 90.00
_cell_angle_beta 91.35
_cell_angle_gamma 90.00
_space_group_name_H-M_alt 'P 1 21/c 1'
_space_group_IT_number 14
loop_
_space_group_symop_operation_xyz
'x,y,z'
'-x,-y,-z'
'-x,y+1/2,-z+1/2'
'x,-y+1/2,z+1/2'
loop_
_atom_site_label
_atom_site_type_symbol
_atom_site_fract_x
_atom_site_fract_y
_atom_site_fract_z
_atom_site_occupancy
Dy1 Dy 0.102 0.010 0.253 1
Au1 Au 0.492 0.691 0.290 1
S1 S 0.279 0.054 0.670 1
O1 O 0.028 0.735 0.499 1
```

Properties
* M_tot: 0.0 μB per cell

--- ii ---
DyAuSO | PBE-GGA | optimized geometry

Cell and atoms, written as CIF:
```
data_DyAuSO
_cell_length_a 9.284
_cell_length_b 5.404
_cell_length_c 5.563
_cell_angle_alpha 90.00
_cell_angle_beta 90.00
_cell_angle_gamma 90.00
_space_group_name_H-M_alt 'P b c m'
_space_group_IT_number 57
loop_
_space_group_symop_operation_xyz
'x,y,z'
'-x,-y,-z'
'-x,-y,z+1/2'
'x,y,-z+1/2'
'x,-y+1/2,-z'
'-x,y+1/2,z'
'-x,y+1/2,-z+1/2'
'x,-y+1/2,z+1/2'
loop_
_atom_site_label
_atom_site_type_symbol
_atom_site_fract_x
_atom_site_fract_y
_atom_site_fract_z
_atom_site_occupancy
Dy1 Dy 0.121 0.007 0.250 1
Au1 Au 0.444 0.250 0.000 1
S1 S 0.282 0.520 0.250 1
O1 O 0.004 0.750 0.000 1
```

Properties
* M_tot: 0.0 μB per cell

--- iii ---
DyAuSO | PBE-GGA | optimized geometry

Cell and atoms, written as CIF:
```
data_DyAuSO
_cell_length_a 5.598
_cell_length_b 9.127
_cell_length_c 5.715
_cell_angle_alpha 90.00
_cell_angle_beta 90.00
_cell_angle_gamma 90.00
_space_group_name_H-M_alt 'P c a 21'
_space_group_IT_number 29
loop_
_space_group_symop_operation_xyz
'x,y,z'
'-x,-y,z+1/2'
'-x+1/2,y,z+1/2'
'x+1/2,-y,z'
loop_
_atom_site_label
_atom_site_type_symbol
_atom_site_fract_x
_atom_site_fract_y
_atom_site_fract_z
_atom_site_occupancy
Dy1 Dy 0.013 0.115 0.000 1
Au1 Au 0.223 0.635 0.190 1
S1 S 0.086 0.338 0.413 1
O1 O 0.248 0.994 0.746 1
```

Properties
* M_tot: 0.0 μB per cell

Stability check: which of them is least stable? i.

--- i ---
BeHgTeO | PBE-GGA | optimized geometry

Cell and atoms, written as CIF:
```
data_BeHgTeO
_cell_length_a 3.566
_cell_length_b 3.566
_cell_length_c 11.998
_cell_angle_alpha 90.00
_cell_angle_beta 90.00
_cell_angle_gamma 90.00
_space_group_name_H-M_alt 'P 4/n m m'
_space_group_IT_number 129
loop_
_space_group_symop_operation_xyz
'x,y,z'
'-x,-y,-z'
'-y+1/2,x,z'
'y+1/2,-x,-z'
'-x+1/2,-y+1/2,z'
'x+1/2,y+1/2,-z'
'y,-x+1/2,z'
'-y,x+1/2,-z'
'x+1/2,-y,-z'
'-x+1/2,y,z'
'-y,-x,-z'
'y,x,z'
'-x,y+1/2,-z'
'x,-y+1/2,z'
'y+1/2,x+1/2,-z'
'-y+1/2,-x+1/2,z'
loop_
_atom_site_label
_atom_site_type_symbol
_atom_site_fract_x
_atom_site_fract_y
_atom_site_fract_z
_atom_site_occupancy
Be1 Be 0.250 0.750 0.000 1
Hg1 Hg 0.250 0.250 0.401 1
Te1 Te 0.250 0.250 0.863 1
O1 O 0.250 0.250 0.600 1
```

--- ii ---
BeHgTeO | PBE-GGA | optimized geometry

Cell and atoms, written as CIF:
```
data_BeHgTeO
_cell_length_a 6.945
_cell_length_b 7.530
_cell_length_c 12.203
_cell_angle_alpha 90.00
_cell_angle_beta 90.00
_cell_angle_gamma 90.00
_space_group_name_H-M_alt 'P b c a'
_space_group_IT_number 61
loop_
_space_group_symop_operation_xyz
'x,y,z'
'-x,-y,-z'
'-x+1/2,-y,z+1/2'
'x+1/2,y,-z+1/2'
'x+1/2,-y+1/2,-z'
'-x+1/2,y+1/2,z'
'-x,y+1/2,-z+1/2'
'x,-y+1/2,z+1/2'
loop_
_atom_site_label
_atom_site_type_symbol
_atom_site_fract_x
_atom_site_fract_y
_atom_site_fract_z
_atom_site_occupancy
Be1 Be 0.091 0.177 0.083 1
Hg1 Hg 0.175 0.588 0.786 1
Te1 Te 0.239 0.585 0.480 1
O1 O 0.112 0.220 0.204 1
```

Stability check: which of them is least stable? i.